Record 1
Compound: BiPCS2
Source: Alexandria
Functional: GGA-PBE
Structure: optimized geometry

Results
Formation energy (no corrections)   2.323 eV per atom
Distance to the lowest polymorph of the same formula   6.60 eV per formula unit

```
data_BiPCS2
_chemical_formula_sum 'Bi1 P1 C1 S2'
_space_group_name_H-M_alt 'P 4/m m m'
_space_group_IT_number 123
_space_group_name_Hall '-P 4 2'
_cell_length_a 5.283
_cell_length_b 5.283
_cell_length_c 5.432
_cell_angle_alpha 90.00
_cell_angle_beta 90.00
_cell_angle_gamma 90.00
loop_
_atom_site_label
_atom_site_type_symbol
_atom_site_fract_x
_atom_site_fract_y
_atom_site_fract_z
_atom_site_occupancy
Bi1 Bi 0.000 0.000 0.000 1
P1 P 0.000 0.000 0.500 1
C1 C 0.500 0.500 0.500 1
S1 S 0.000 0.500 0.000 1
```

Record 2
Compound: Sm5TlSn2
Source: Alexandria
Functional: GGA-PBE
Structure: optimized geometry

Results
Distance to the lowest polymorph of the same formula   0.69 eV per formula unit

```
data_Sm5TlSn2
_chemical_formula_sum 'Sm10 Tl2 Sn4'
_space_group_name_H-M_alt 'I 4/m m m'
_space_group_IT_number 139
_space_group_name_Hall '-I 4 2'
_cell_length_a 7.005
_cell_length_b 7.005
_cell_length_c 9.425
_cell_angle_alpha 90.00
_cell_angle_beta 90.00
_cell_angle_gamma 90.00
loop_
_atom_site_label
_atom_site_type_symbol
_atom_site_fract_x
_atom_site_fract_y
_atom_site_fract_z
_atom_site_occupancy
Sm1 Sm 0.000 0.000 0.000 1
Sm2 Sm 0.250 0.250 0.250 1
Tl1 Tl 0.000 0.000 0.500 1
Sn1 Sn 0.000 0.500 0.000 1
```

Record 3
Compound: YTlFe2I
Source: Alexandria
Functional: GGA-PBE
Structure: optimized geometry

Results
Formation energy (no corrections)   1.193 eV per atom

```
data_YTlFe2I
_chemical_formula_sum 'Y1 Tl1 Fe2 I1'
_space_group_name_H-M_alt 'P 4/m m m'
_space_group_IT_number 123
_space_group_name_Hall '-P 4 2'
_cell_length_a 4.616
_cell_length_b 4.616
_cell_length_c 5.903
_cell_angle_alpha 90.00
_cell_angle_beta 90.00
_cell_angle_gamma 90.00
loop_
_atom_site_label
_atom_site_type_symbol
_atom_site_fract_x
_atom_site_fract_y
_atom_site_fract_z
_atom_site_occupancy
Y1 Y 0.000 0.000 0.000 1
Tl1 Tl 0.500 0.500 0.000 1
Fe1 Fe 0.000 0.500 0.500 1
I1 I 0.500 0.500 0.500 1
```

Record 4
Compound: CsSrMnI5
Source: Alexandria
Functional: GGA-PBE
Structure: optimized geometry

Results
Formation energy (no corrections)   -1.191 eV per atom

```
data_CsSrMnI5
_chemical_formula_sum 'Cs4 Sr4 Mn4 I20'
_space_group_name_H-M_alt 'C 1 2/c 1'
_space_group_IT_number 15
_cell_length_a 10.829
_cell_length_b 14.296
_cell_length_c 11.741
_cell_angle_alpha 90.00
_cell_angle_beta 114.29
_cell_angle_gamma 90.00
loop_
_space_group_symop_operation_xyz
'x,y,z'
'-x,-y,-z'
'-x,y,-z+1/2'
'x,-y,z+1/2'
'x+1/2,y+1/2,z'
'-x+1/2,-y+1/2,-z'
'-x+1/2,y+1/2,-z+1/2'
'x+1/2,-y+1/2,z+1/2'
loop_
_atom_site_label
_atom_site_type_symbol
_atom_site_fract_x
_atom_site_fract_y
_atom_site_fract_z
_atom_site_occupancy
Cs1 Cs 0.000 0.149 0.250 1
Sr1 Sr 0.000 0.500 0.000 1
Mn1 Mn 0.000 0.186 0.750 1
I1 I 0.000 0.412 0.250 1
I2 I 0.114 0.289 0.625 1
I3 I 0.180 0.075 0.930 1
```

Record 5
Compound: ZnGaMoIr
Source: Alexandria
Functional: GGA-PBE
Structure: optimized geometry

Results
Distance to the lowest polymorph of the same formula   0.46 eV per formula unit

```
data_ZnGaMoIr
_chemical_formula_sum 'Zn1 Ga1 Mo1 Ir1'
_space_group_name_H-M_alt 'P 1'
_space_group_IT_number 1
_cell_length_a 2.789
_cell_length_b 4.530
_cell_length_c 5.004
_cell_angle_alpha 88.79
_cell_angle_beta 89.93
_cell_angle_gamma 72.94
loop_
_space_group_symop_operation_xyz
'x,y,z'
loop_
_atom_site_label
_atom_site_type_symbol
_atom_site_fract_x
_atom_site_fract_y
_atom_site_fract_z
_atom_site_occupancy
Zn1 Zn 0.000 0.000 0.000 1
Ga1 Ga 0.005 0.995 0.504 1
Mo1 Mo 0.283 0.449 0.252 1
Ir1 Ir 0.718 0.560 0.757 1
```

Record 6
Compound: ZrBeHg2
Source: Alexandria
Functional: GGA-PBE
Structure: optimized geometry

```
data_ZrBeHg2
_chemical_formula_sum 'Zr3 Be3 Hg6'
_space_group_name_H-M_alt 'R -3 m'
_space_group_IT_number 166
_space_group_name_Hall '-R 3 2"'
_cell_length_a 3.1728
_cell_length_b 3.1728
_cell_length_c 26.7241
_cell_angle_alpha 90.00
_cell_angle_beta 90.00
_cell_angle_gamma 120.00
loop_
_atom_site_label
_atom_site_type_symbol
_atom_site_fract_x
_atom_site_fract_y
_atom_site_fract_z
_atom_site_occupancy
Zr1 Zr 0.0000 0.0000 0.0000 1
Be1 Be 0.0000 0.0000 0.5000 1
Hg1 Hg 0.0000 0.0000 0.2373 1
```

| no. | ρ (Mg/m³) | E (eV/atom) |
| --- | --- | --- |
| 1 | 3.462 | -3.03 |
| 2 | 8.572 | -4.69 |
| 3 | 7.023 | -4.27 |
| 4 | 3.648 | -3.62 |
| 5 | 11.634 | -6.01 |
| 6 | 10.722 | -2.94 |